Density functional theory data (PBE+U) for an optimized crystal structure of Re2GeWF.

Unit cell a=4.374 b=4.374 c=4.113 alpha=90.00 beta=90.00 gamma=90.00
Space group P4/mmm (No. 123)
One atom of each set of equivalent atoms:
1 Re 0.000 0.500 0.000 [2 per cell]
2 Ge 0.000 0.000 0.500 [1 per cell]
3 W 0.500 0.500 0.500 [1 per cell]
4 F 0.500 0.500 0.000 [1 per cell]

magnetization: 1.38 μB per formula unit
VASP energy: -6.275 eV/atom